## WSeCl (GGA-PBEsol)

Data for a relaxed WSeCl crystal.

a b c (Å): 6.033 6.033 6.033
angles (deg): 90.00 90.00 90.00
Atoms (fractional coordinates):
W  0.000  0.000  0.000
W  0.000  0.500  0.500
W  0.500  0.000  0.500
W  0.500  0.500  0.000
Se  0.250  0.250  0.250
Se  0.250  0.750  0.750
Se  0.750  0.250  0.750
Se  0.750  0.750  0.250
Cl  0.250  0.250  0.750
Cl  0.250  0.750  0.250
Cl  0.750  0.250  0.250
Cl  0.750  0.750  0.750

## Properties
offset from the most stable computed form = 294.4 meV per atom
E_form (uncorrected) = 0.20 eV per atom
DFT total energy = -6.36 eV per atom

---

## Ni2TeAu2 (GGA-PBEsol)

Data for a relaxed Ni2TeAu2 crystal.

a b c (Å): 3.635 3.635 12.789
angles (deg): 90.00 90.00 90.00
Atoms (fractional coordinates):
Ni  0.000  0.500  0.250
Ni  0.000  0.500  0.750
Ni  0.500  0.000  0.250
Ni  0.500  0.000  0.750
Te  0.000  0.000  0.000
Te  0.500  0.500  0.500
Au  0.000  0.000  0.388
Au  0.000  0.000  0.612
Au  0.500  0.500  0.112
Au  0.500  0.500  0.888

## Properties
E_form (uncorrected) = 0.33 eV per atom
DFT total energy = -4.40 eV per atom

---

> Look up the E_form (uncorrected) of the second one.

0.33 eV per atom